## K2Zr2Os (PBE)

Data for crystalline K2Zr2Os at its relaxed geometry.

The structure in extended XYZ format:
```
10
Lattice="-0.1731 -5.0084 4.6500 4.1846 -3.7553 -3.8889 5.3143 2.7026 3.1087" Properties=species:S:1:pos:R:3 pbc="T T T"
Zr 1.3599 -2.0882 -0.5093
Zr 2.6516 -6.6754 1.2705
Zr 0.5876 -3.9771 2.4529
Zr 3.4238 -4.7866 -1.6918
Os 2.0057 -4.3818 0.3806
Os 0.0000 0.0000 0.0000
K 5.5202 -2.2102 -0.2439
K 3.8056 -3.8509 4.1137
K 3.4079 -0.9121 2.2387
K 5.9179 -5.1489 1.6311
```

The calculation puts the uncorrected energy at -5.515 eV/atom. The density of states at the Fermi level comes out at 0.7765 states/eV per atom. The value obtained for the formation energy is 57 kJ/mol of atoms. As for the energy above the most stable polymorph in this dataset: 0 meV per atom.